# 1
PBE-GGA Ru2RhF, relaxed; formation energy without anion corrections = 0.35 eV/atom; space-group type = Fm-3m, No. 225; relative energy among the computed polymorphs = 0.000 eV/atom
1.0
0.000 2.989 2.989
2.989 0.000 2.989
2.989 2.989 0.000
Ru Rh F
2 1 1
direct
0.250 0.250 0.250
0.750 0.750 0.750
0.000 0.000 0.000
0.500 0.500 0.500

# 2
PBE-GGA BPCl2O, relaxed; formation energy without anion corrections = 0.98 eV/atom; space-group type = P4/mmm, No. 123; relative energy among the computed polymorphs = 0.000 eV/atom
1.0
5.623 0.000 0.000
0.000 5.623 0.000
0.000 0.000 3.316
B P Cl O
1 1 2 1
direct
0.000 0.000 0.000
0.500 0.500 0.000
0.000 0.500 0.500
0.500 0.000 0.500
0.500 0.500 0.500

# 3
PBE-GGA TbTmZr, relaxed; energy relative to the elements = 0.1301 eV per atom; space-group type = Ama2, No. 40; relative energy among the computed polymorphs = 0.057 eV/atom
1.0
6.732 0.000 0.000
0.000 2.677 4.637
0.000 -2.677 4.637
Tb Tm Zr
2 2 2
direct
0.000 0.000 0.000
0.500 0.000 0.000
0.250 0.667 0.666
0.750 0.666 0.667
0.250 0.334 0.333
0.750 0.333 0.334

# 4
PBE-GGA NaIn2Cl6, relaxed; formation energy without anion corrections = -1.12 eV/atom; space-group type = C2/c, No. 15
1.0
6.920 -6.174 0.000
6.920 6.174 0.000
-3.001 0.000 7.578
Na In Cl
2 4 12
direct
0.084 0.916 0.750
0.916 0.084 0.250
0.192 0.394 0.747
0.394 0.192 0.247
0.606 0.808 0.753
0.808 0.606 0.253
0.013 0.193 0.634
0.039 0.627 0.773
0.193 0.013 0.134
0.358 0.368 0.046
0.368 0.358 0.546
0.373 0.961 0.727
0.627 0.039 0.273
0.632 0.642 0.454
0.642 0.632 0.954
0.807 0.987 0.866
0.961 0.373 0.227
0.987 0.807 0.366